Record 1
ScMoAs2 after structural relaxation, computed with GGA-PBE.

## Properties
The distance to the lowest polymorph of the same formula comes out at 547 meV per atom. The calculation puts the density at 4.72 g cm⁻³. As for the space group: I-42d, No. 122. As for the energy relative to the elements: -0.065 eV/atom.

a b c (Å): 5.7673 5.7673 12.3114
angles (deg): 90.00 90.00 90.00
Last column: nearest neighbours and their distance in Å.
Fractional positions:
Sc: 0.0000 0.0000 0.0000  4 As 2.66
Sc: 0.0000 0.5000 0.2500  4 As 2.66
Sc: 0.5000 0.0000 0.7500  4 As 2.66
Sc: 0.5000 0.5000 0.5000  4 As 2.66
Mo: 0.0000 0.0000 0.5000  4 As 2.46
Mo: 0.0000 0.5000 0.7500  4 As 2.46
Mo: 0.5000 0.0000 0.2500  4 As 2.46
Mo: 0.5000 0.5000 0.0000  4 As 2.46
As: 0.2189 0.2500 0.6250  2 Mo 2.46, 2 Sc 2.66
As: 0.2500 0.7189 0.8750  2 Mo 2.46, 2 Sc 2.66
As: 0.2500 0.7811 0.3750  2 Mo 2.46, 2 Sc 2.66
As: 0.2811 0.2500 0.1250  2 Mo 2.46, 2 Sc 2.66
As: 0.7189 0.7500 0.1250  2 Mo 2.46, 2 Sc 2.66
As: 0.7500 0.2189 0.3750  2 Mo 2.46, 2 Sc 2.66
As: 0.7500 0.2811 0.8750  2 Mo 2.46, 2 Sc 2.66
As: 0.7811 0.7500 0.6250  2 Mo 2.46, 2 Sc 2.66



Record 2
ScMoAs2 after structural relaxation, computed with GGA-PBE.

## Properties
The distance to the lowest polymorph of the same formula comes out at 397 meV per atom. The calculation puts the density at 6.83 g cm⁻³. As for the space group: I-4m2, No. 119. As for the energy relative to the elements: -0.215 eV/atom.

a b c (Å): 3.8141 3.8141 9.7171
angles (deg): 90.00 90.00 90.00
Last column: nearest neighbours and their distance in Å.
Fractional positions:
Sc: 0.0000 0.0000 0.0000  4 As 2.70
Sc: 0.5000 0.5000 0.5000  4 As 2.70
Mo: 0.0000 0.5000 0.2500  4 As 2.70
Mo: 0.5000 0.0000 0.7500  4 As 2.70
As: 0.0000 0.0000 0.5000  4 Sc 2.70
As: 0.0000 0.5000 0.7500  4 Mo 2.70
As: 0.5000 0.0000 0.2500  4 Mo 2.70
As: 0.5000 0.5000 0.0000  4 Sc 2.70



Record 3
ScMoAs2 after structural relaxation, computed with GGA-PBE.

## Properties
The distance to the lowest polymorph of the same formula comes out at 91 meV per atom. The calculation puts the density at 6.44 g cm⁻³. As for the space group: R-3m, No. 166. As for the energy relative to the elements: -0.522 eV/atom.

a b c (Å): 3.8197 3.8197 17.8034
angles (deg): 90.00 90.00 120.00
Last column: nearest neighbours and their distance in Å.
Fractional positions:
Sc: 0.0000 0.0000 0.0000  6 As 2.71
Sc: 0.3333 0.6667 0.6667  6 As 2.71
Sc: 0.6667 0.3333 0.3333  6 As 2.71
Mo: 0.0000 0.0000 0.5000  6 As 2.61
Mo: 0.3333 0.6667 0.1667  6 As 2.61
Mo: 0.6667 0.3333 0.8333  6 As 2.61
As: 0.0000 0.0000 0.2446  3 Mo 2.61, 3 Sc 2.71
As: 0.0000 0.0000 0.7554  3 Mo 2.61, 3 Sc 2.71
As: 0.3333 0.6667 0.4221  3 Mo 2.61, 3 Sc 2.71
As: 0.3333 0.6667 0.9113  3 Mo 2.61, 3 Sc 2.71
As: 0.6667 0.3333 0.0887  3 Mo 2.61, 3 Sc 2.71
As: 0.6667 0.3333 0.5779  3 Mo 2.61, 3 Sc 2.71



Record 4
ScMo2As after structural relaxation, computed with GGA-PBE.

## Properties
The calculation puts the density at 7.50 g cm⁻³. As for the space group: P2/m, No. 10. As for the energy relative to the elements: -0.022 eV/atom.

a b c (Å): 2.9338 4.7863 4.9214
angles (deg): 90.00 91.98 90.00
Last column: nearest neighbours and their distance in Å.
Fractional positions:
Sc: 0.0000 0.0000 0.0000  4 As 2.82-2.91, 4 Mo 2.92, 2 Sc 2.93
Mo: 0.3760 0.5000 0.7529  2 Mo 2.51-2.62, 2 As 2.73
Mo: 0.6240 0.5000 0.2471  2 Mo 2.51-2.62, 2 As 2.73
As: 0.5000 0.0000 0.5000  4 Mo 2.73, 4 Sc 2.82-2.91, 2 As 2.93



Record 5
ScMo2As after structural relaxation, computed with GGA-PBE.

## Properties
The calculation puts the density at 7.51 g cm⁻³. As for the space group: Cmmm, No. 65. As for the energy relative to the elements: 0.142 eV/atom.

a b c (Å): 3.3732 4.8149 8.4901
angles (deg): 90.00 90.00 90.00
Last column: nearest neighbours and their distance in Å.
Fractional positions:
Sc: 0.0000 0.0000 0.0000  4 Mo 2.88, 4 Sc 2.94
Sc: 0.5000 0.5000 0.0000  4 Mo 2.88, 4 Sc 2.94
Mo: 0.0000 0.5000 0.2752  2 As 2.55
Mo: 0.0000 0.5000 0.7248  2 As 2.55
Mo: 0.5000 0.0000 0.2752  2 As 2.55
Mo: 0.5000 0.0000 0.7248  2 As 2.55
As: 0.0000 0.0000 0.5000  4 Mo 2.55
As: 0.5000 0.5000 0.5000  4 Mo 2.55



Record 6
ScMo2As after structural relaxation, computed with GGA-PBE.

## Properties
The calculation puts the density at 6.77 g cm⁻³. As for the space group: I-42d, No. 122. As for the energy relative to the elements: 0.281 eV/atom.

a b c (Å): 7.7628 7.7628 5.0795
angles (deg): 90.00 90.00 90.00
Last column: nearest neighbours and their distance in Å.
Fractional positions:
Sc: 0.0000 0.0000 0.0000  2 As 2.54
Sc: 0.0000 0.5000 0.2500  2 As 2.54
Sc: 0.5000 0.0000 0.7500  2 As 2.54
Sc: 0.5000 0.5000 0.5000  2 As 2.54
Mo: 0.1762 0.2500 0.6250  2 As 2.46
Mo: 0.2500 0.6762 0.8750  2 As 2.46
Mo: 0.2500 0.8238 0.3750  2 As 2.46
Mo: 0.3238 0.2500 0.1250  2 As 2.46
Mo: 0.6762 0.7500 0.1250  2 As 2.46
Mo: 0.7500 0.1762 0.3750  2 As 2.46
Mo: 0.7500 0.3238 0.8750  2 As 2.46
Mo: 0.8238 0.7500 0.6250  2 As 2.46
As: 0.0000 0.0000 0.5000  4 Mo 2.46, 2 Sc 2.54
As: 0.0000 0.5000 0.7500  4 Mo 2.46, 2 Sc 2.54
As: 0.5000 0.0000 0.2500  4 Mo 2.46, 2 Sc 2.54
As: 0.5000 0.5000 0.0000  4 Mo 2.46, 2 Sc 2.54